1.
Below is a crystal of NaPNCl2 relaxed with PBEsol, with properties calculated at the meta-GGA SCAN level.

symmetry	No. 123
E	-0.29210	Ha/atom
uncorrected formation energy	0.02	eV per atom

Cell: 5.5565 5.5565 3.3009 Å, 90.00 90.00 90.00°
Last column: nearest neighbours and their distance in Å.
Fractional coordinates of all 5 atoms:
1 Na 0.0000 0.0000 0.0000  8 Cl 3.23, 2 Na 3.30
2 P 0.5000 0.5000 0.0000  2 N 1.65
3 N 0.5000 0.5000 0.5000  2 P 1.65
4 Cl 0.0000 0.5000 0.5000  2 N 2.78
5 Cl 0.5000 0.0000 0.5000  2 N 2.78

2.
Below is a crystal of NaZr2SN2Cl relaxed with PBEsol, with properties calculated at the meta-GGA SCAN level.

relative energy among the computed polymorphs	17.8	meV/atom
symmetry	No. 160
E	-0.60537	Ha/atom
uncorrected formation energy	-1.93	eV per atom

Cell: 10.1854 10.1854 10.1854 Å, 20.55 20.55 20.55°
Last column: nearest neighbours and their distance in Å.
Fractional coordinates of all 7 atoms:
1 Na 0.0000 0.0000 0.0000  3 S 2.71, 3 Cl 2.85
2 Zr 0.2193 0.2193 0.2193  4 N 2.17-2.29
3 Zr 0.7996 0.7996 0.7996  4 N 2.04-2.12
4 S 0.6093 0.6093 0.6093  3 Zr 2.70, 3 Na 2.71
5 N 0.1428 0.1428 0.1428  4 Zr 2.12-2.29
6 N 0.8679 0.8679 0.8679  4 Zr 2.04-2.17
7 Cl 0.3980 0.3980 0.3980  3 Na 2.85, 3 Zr 2.93, 3 N 3.14

3.
Below is a crystal of NaZr2SN2Cl relaxed with PBEsol, with properties calculated at the meta-GGA SCAN level.

relative energy among the computed polymorphs	0.0	meV/atom
symmetry	No. 14
E	-0.60603	Ha/atom
uncorrected formation energy	-1.95	eV per atom

Cell: 10.0906 7.2522 6.3159 Å, 90.00 101.75 90.00°
Last column: nearest neighbours and their distance in Å.
Fractional coordinates of all 28 atoms:
1 Na 0.0074 0.1243 0.2618  3 Cl 2.71-2.80, 3 S 2.74-2.83
2 Na 0.0074 0.3757 0.7618  3 Cl 2.71-2.80, 3 S 2.74-2.83
3 Na 0.9926 0.6243 0.2382  3 Cl 2.71-2.80, 3 S 2.74-2.83
4 Na 0.9926 0.8757 0.7382  3 Cl 2.71-2.80, 3 S 2.74-2.83
5 Zr 0.3681 0.1330 0.0278  4 N 2.14-2.17
6 Zr 0.3681 0.3670 0.5278  4 N 2.14-2.17
7 Zr 0.3732 0.6192 0.0541  4 N 2.11-2.16
8 Zr 0.3732 0.8808 0.5541  4 N 2.11-2.16
9 Zr 0.6268 0.1192 0.4459  4 N 2.11-2.16
10 Zr 0.6268 0.3808 0.9459  4 N 2.11-2.16
11 Zr 0.6319 0.6330 0.4722  4 N 2.14-2.17
12 Zr 0.6319 0.8670 0.9722  4 N 2.14-2.17
13 S 0.1912 0.1230 0.6474  3 Zr 2.69-2.73, 3 Na 2.74-2.83
14 S 0.1912 0.3770 0.1474  3 Zr 2.69-2.73, 3 Na 2.74-2.83
15 S 0.8088 0.6230 0.8526  3 Zr 2.69-2.73, 3 Na 2.74-2.83
16 S 0.8088 0.8770 0.3526  3 Zr 2.69-2.73, 3 Na 2.74-2.83
17 N 0.4122 0.6332 0.4022  4 Zr 2.11-2.17
18 N 0.4122 0.8668 0.9022  4 Zr 2.11-2.17
19 N 0.4130 0.1146 0.3732  4 Zr 2.11-2.17
20 N 0.4130 0.3854 0.8732  4 Zr 2.11-2.17
21 N 0.5870 0.6146 0.1268  4 Zr 2.11-2.17
22 N 0.5870 0.8854 0.6268  4 Zr 2.11-2.17
23 N 0.5878 0.1332 0.0978  4 Zr 2.11-2.17
24 N 0.5878 0.3668 0.5978  4 Zr 2.11-2.17
25 Cl 0.1737 0.6297 0.6381  3 Na 2.71-2.80, 3 Zr 2.84-2.97
26 Cl 0.1737 0.8703 0.1381  3 Na 2.71-2.80, 3 Zr 2.84-2.97
27 Cl 0.8263 0.1297 0.8619  3 Na 2.71-2.80, 3 Zr 2.84-2.97
28 Cl 0.8263 0.3703 0.3619  3 Na 2.71-2.80, 3 Zr 2.84-2.97

4.
Below is a crystal of NaTi5N5Cl5 relaxed with PBEsol, with properties calculated at the meta-GGA SCAN level.

symmetry	No. 2
E	-0.45855	Ha/atom
uncorrected formation energy	-1.81	eV per atom

Cell: 5.1643 9.2672 12.2388 Å, 70.39 87.36 86.92°
Last column: nearest neighbours and their distance in Å.
Fractional coordinates of all 32 atoms:
1 Na 0.0042 0.2227 0.2380  6 Cl 2.83-2.90
2 Na 0.9958 0.7773 0.7620  6 Cl 2.83-2.90
3 Ti 0.0576 0.3446 0.5767  4 N 1.97-2.02
4 Ti 0.1427 0.2541 0.8243  4 N 1.97-2.03
5 Ti 0.2580 0.9446 0.9788  4 N 1.96-2.03
6 Ti 0.3425 0.8526 0.2250  4 N 1.96-2.02
7 Ti 0.4587 0.5437 0.3765  4 N 1.97-2.02
8 Ti 0.5413 0.4563 0.6235  4 N 1.97-2.02
9 Ti 0.6575 0.1474 0.7750  4 N 1.96-2.02
10 Ti 0.7420 0.0554 0.0212  4 N 1.96-2.03
11 Ti 0.8573 0.7459 0.1757  4 N 1.97-2.03
12 Ti 0.9424 0.6554 0.4233  4 N 1.97-2.02
13 N 0.0447 0.9394 0.1170  4 Ti 1.96-2.03
14 N 0.1561 0.6621 0.2839  4 Ti 1.96-2.03
15 N 0.2448 0.5371 0.5157  4 Ti 1.97-2.02
16 N 0.3546 0.2636 0.6839  4 Ti 1.97-2.01
17 N 0.4443 0.1375 0.9157  4 Ti 1.98-2.00
18 N 0.5557 0.8625 0.0843  4 Ti 1.98-2.00
19 N 0.6454 0.7364 0.3161  4 Ti 1.97-2.01
20 N 0.7552 0.4629 0.4843  4 Ti 1.97-2.02
21 N 0.8439 0.3379 0.7161  4 Ti 1.96-2.03
22 N 0.9553 0.0606 0.8830  4 Ti 1.96-2.03
23 Cl 0.0812 0.6893 0.0084  2 Ti 2.49-2.50
24 Cl 0.1207 0.9129 0.3901  2 Ti 2.49-2.50
25 Cl 0.2819 0.2862 0.4099  2 Ti 2.50
26 Cl 0.3200 0.5122 0.7918  2 Ti 2.50-2.51
27 Cl 0.4799 0.8858 0.8081  2 Ti 2.54
28 Cl 0.5201 0.1142 0.1919  2 Ti 2.54
29 Cl 0.6800 0.4878 0.2082  2 Ti 2.50-2.51
30 Cl 0.7181 0.7138 0.5901  2 Ti 2.50
31 Cl 0.8793 0.0871 0.6099  2 Ti 2.49-2.50
32 Cl 0.9188 0.3107 0.9916  2 Ti 2.49-2.50

5.
Below is a crystal of NaW6NCl18 relaxed with PBEsol, with properties calculated at the meta-GGA SCAN level.

symmetry	No. 176
E	-0.84838	Ha/atom
uncorrected formation energy	-0.96	eV per atom

Cell: 9.0080 9.0080 17.8545 Å, 90.00 90.00 120.00°
Last column: nearest neighbours and their distance in Å.
Fractional coordinates of all 52 atoms:
1 Na 0.0000 0.0000 0.0000  6 Cl 2.87
2 Na 0.0000 0.0000 0.5000  6 Cl 2.87
3 W 0.1822 0.6980 0.1643  1 N 2.16, 3 Cl 2.38-2.40
4 W 0.1822 0.6980 0.3357  1 N 2.16, 3 Cl 2.38-2.40
5 W 0.3020 0.4843 0.1643  1 N 2.16, 3 Cl 2.38-2.40
6 W 0.3020 0.4843 0.3357  1 N 2.16, 3 Cl 2.38-2.40
7 W 0.4843 0.1822 0.6643  1 N 2.16, 3 Cl 2.38-2.40
8 W 0.4843 0.1822 0.8357  1 N 2.16, 3 Cl 2.38-2.40
9 W 0.5157 0.8178 0.1643  1 N 2.16, 3 Cl 2.38-2.40
10 W 0.5157 0.8178 0.3357  1 N 2.16, 3 Cl 2.38-2.40
11 W 0.6980 0.5157 0.6643  1 N 2.16, 3 Cl 2.38-2.40
12 W 0.6980 0.5157 0.8357  1 N 2.16, 3 Cl 2.38-2.40
13 W 0.8178 0.3020 0.6643  1 N 2.16, 3 Cl 2.38-2.40
14 W 0.8178 0.3020 0.8357  1 N 2.16, 3 Cl 2.38-2.40
15 N 0.3333 0.6667 0.2500  6 W 2.16
16 N 0.6667 0.3333 0.7500  6 W 2.16
17 Cl 0.0305 0.2608 0.6014  1 W 2.40
18 Cl 0.0305 0.2608 0.8986  1 W 2.40
19 Cl 0.0518 0.4769 0.7500  2 W 2.44
20 Cl 0.0841 0.2835 0.2500  2 W 2.43
21 Cl 0.1127 0.4832 0.0714  2 W 2.38
22 Cl 0.1127 0.4832 0.4286  2 W 2.38
23 Cl 0.1994 0.9159 0.2500  2 W 2.43
24 Cl 0.2303 0.9695 0.6014  1 W 2.40
25 Cl 0.2303 0.9695 0.8986  1 W 2.40
26 Cl 0.2608 0.2303 0.1014  1 W 2.40
27 Cl 0.2608 0.2303 0.3986  1 W 2.40
28 Cl 0.2835 0.1994 0.7500  2 W 2.43
29 Cl 0.3705 0.8873 0.0714  2 W 2.38
30 Cl 0.3705 0.8873 0.4286  2 W 2.38
31 Cl 0.4251 0.9482 0.7500  2 W 2.44
32 Cl 0.4769 0.4251 0.2500  2 W 2.44
33 Cl 0.4832 0.3705 0.5714  2 W 2.38
34 Cl 0.4832 0.3705 0.9286  2 W 2.38
35 Cl 0.5168 0.6295 0.0714  2 W 2.38
36 Cl 0.5168 0.6295 0.4286  2 W 2.38
37 Cl 0.5231 0.5749 0.7500  2 W 2.44
38 Cl 0.5749 0.0518 0.2500  2 W 2.44
39 Cl 0.6295 0.1127 0.5714  2 W 2.38
40 Cl 0.6295 0.1127 0.9286  2 W 2.38
41 Cl 0.7165 0.8006 0.2500  2 W 2.43
42 Cl 0.7392 0.7697 0.6014  1 W 2.40
43 Cl 0.7392 0.7697 0.8986  1 W 2.40
44 Cl 0.7697 0.0305 0.1014  1 W 2.40
45 Cl 0.7697 0.0305 0.3986  1 W 2.40
46 Cl 0.8006 0.0841 0.7500  2 W 2.43
47 Cl 0.8873 0.5168 0.5714  2 W 2.38
48 Cl 0.8873 0.5168 0.9286  2 W 2.38
49 Cl 0.9159 0.7165 0.7500  2 W 2.43
50 Cl 0.9482 0.5231 0.2500  2 W 2.44
51 Cl 0.9695 0.7392 0.1014  1 W 2.40
52 Cl 0.9695 0.7392 0.3986  1 W 2.40

6.
Below is a crystal of NbNCl2 relaxed with PBEsol, with properties calculated at the meta-GGA SCAN level.

symmetry	No. 225
E	-0.51254	Ha/atom
uncorrected formation energy	0.65	eV per atom

Cell: 4.2510 4.2510 4.2510 Å, 60.00 60.00 60.00°
Last column: nearest neighbours and their distance in Å.
Fractional coordinates of all 4 atoms:
1 Nb 0.0000 0.0000 0.0000  8 Cl 2.60
2 N 0.5000 0.5000 0.5000  8 Cl 2.60
3 Cl 0.2500 0.2500 0.2500  4 N 2.60, 4 Nb 2.60
4 Cl 0.7500 0.7500 0.7500  4 Nb 2.60, 4 N 2.60